AgBSe2 | GGA-PBE | relaxed

Unit cell a=10.834 b=3.132 c=13.758 alpha=90.00 beta=90.00 gamma=90.00
Sites, in units of the cell vectors:
B: 0.663 0.250 0.370
B: 0.837 0.750 0.870
B: 0.337 0.750 0.630
B: 0.163 0.250 0.130
Se: 0.687 0.250 0.510
Se: 0.813 0.750 0.010
Se: 0.313 0.750 0.490
Se: 0.187 0.250 0.990
Se: 0.354 0.250 0.714
Se: 0.146 0.750 0.214
Se: 0.646 0.750 0.286
Se: 0.854 0.250 0.786
Ag: 0.106 0.250 0.499
Ag: 0.394 0.750 0.999
Ag: 0.894 0.750 0.501
Ag: 0.606 0.250 0.001

density	3.94	Mg/m³
raw total energy	-65.7	eV for the cell shown
magnetization	0.0	Bohr magnetons per cell
energy relative to the elements, uncorrected	17	meV/atom

---

AgBSe2 | GGA-PBE | relaxed

Unit cell a=7.118 b=7.118 c=7.118 alpha=27.38 beta=27.38 gamma=27.38
Sites, in units of the cell vectors:
B: 0.000 0.000 0.000
Se: 0.729 0.729 0.729
Se: 0.271 0.271 0.271
Ag: 0.500 0.500 0.500

density	6.83	Mg/m³
raw total energy	-14.8	eV for the cell shown
magnetization	0.0	Bohr magnetons per cell
energy relative to the elements, uncorrected	421	meV/atom

---

AgBSe2 | GGA-PBE | relaxed

Unit cell a=3.718 b=3.718 c=5.166 alpha=90.00 beta=90.00 gamma=90.00
Sites, in units of the cell vectors:
B: 0.000 0.000 0.500
Se: 0.500 0.500 0.500
Se: 0.000 0.000 0.000
Ag: 0.500 0.500 0.000

density	6.43	Mg/m³
raw total energy	-13.7	eV for the cell shown
magnetization	0.0	Bohr magnetons per cell
energy relative to the elements, uncorrected	702	meV/atom

---

AgBSe2 | GGA-PBE | relaxed

Unit cell a=3.599 b=3.599 c=6.752 alpha=90.00 beta=90.00 gamma=120.00
Sites, in units of the cell vectors:
B: 0.333 0.667 0.442
Se: 0.333 0.667 0.725
Se: 0.667 0.333 0.303
Ag: 0.000 0.000 0.984

density	6.06	Mg/m³
raw total energy	-15.4	eV for the cell shown
magnetization	0.0	Bohr magnetons per cell
energy relative to the elements, uncorrected	269	meV/atom

---

AgBSe2 | GGA-PBE | relaxed

Unit cell a=6.940 b=6.649 c=8.339 alpha=51.71 beta=110.20 gamma=81.59
Sites, in units of the cell vectors:
B: 0.386 0.287 0.885
B: 0.104 0.123 0.812
Ag: 0.245 0.705 0.849
Ag: 0.745 0.205 0.349
Se: 0.617 0.415 0.931
Se: 0.873 0.995 0.766
Se: 0.306 0.022 0.116
Se: 0.184 0.388 0.581

density	3.72	Mg/m³
raw total energy	-33.4	eV for the cell shown
magnetization	0.0	Bohr magnetons per cell
energy relative to the elements, uncorrected	-51	meV/atom

---

AgBSe2 | GGA-PBE | relaxed

Unit cell a=4.657 b=5.930 c=7.807 alpha=94.53 beta=72.73 gamma=105.33
Sites, in units of the cell vectors:
B: 0.930 0.999 0.713
B: 0.038 0.499 0.498
Ag: 0.160 0.639 0.007
Ag: 0.562 0.140 0.205
Se: 0.057 0.838 0.483
Se: 0.933 0.338 0.729
Se: 0.767 0.854 0.949
Se: 0.112 0.354 0.262

density	4.63	Mg/m³
raw total energy	-33.4	eV for the cell shown
magnetization	0.0	Bohr magnetons per cell
energy relative to the elements, uncorrected	-54	meV/atom

---

AgBSe2 | GGA-PBE | relaxed

Unit cell a=15.129 b=15.129 c=4.266 alpha=90.00 beta=90.00 gamma=168.12
Sites, in units of the cell vectors:
B: 0.365 0.635 0.250
B: 0.635 0.365 0.750
Se: 0.303 0.697 0.250
Se: 0.697 0.303 0.750
Se: 0.906 0.094 0.250
Se: 0.094 0.906 0.750
Ag: 0.030 0.970 0.250
Ag: 0.970 0.030 0.750

density	4.57	Mg/m³
raw total energy	-31.9	eV for the cell shown
magnetization	0.0	Bohr magnetons per cell
energy relative to the elements, uncorrected	133	meV/atom

---

AgB3Se | GGA-PBE | relaxed

Unit cell a=4.135 b=4.135 c=4.135 alpha=90.00 beta=90.00 gamma=90.00
Sites, in units of the cell vectors:
B: 0.000 0.500 0.000
B: 0.000 0.000 0.500
B: 0.500 0.000 0.000
Se: 0.000 0.000 0.000
Ag: 0.500 0.500 0.500

density	5.15	Mg/m³
raw total energy	-16.3	eV for the cell shown
magnetization	0.0	Bohr magnetons per cell
relative energy among the computed polymorphs	66	meV per atom
energy relative to the elements, uncorrected	2006	meV/atom

---

Number 5 is which compound?
AgBSe2

---

Among the records above, which one has the lowest density?
number 5

---

Which value of magnetization does entry 3 give?
0.0 Bohr magnetons per cell